PBE Tl2CrPb, relaxed; formation energy from the elements = 10.08 kcal/mol of atoms; total moment = 1.05 μB/atom
1.0
-1.993 -0.397 -4.572
-2.674 -3.426 1.463
-3.246 3.026 1.153
Cr Pb Tl
1 1 2
Direct
0.500 0.500 0.000 Cr
0.500 0.000 0.500 Pb
0.000 0.000 0.000 Tl
0.000 0.500 0.500 Tl